1.
LaCr3: relaxed, PBE.

abc: 3.0505 3.0505 8.6127
angles: 90.00 90.00 120.00
With the nearest neighbours (Å) after each atom.
Element x y z (fractional)
1 La 0.0000 0.0000 0.0000  6 La 3.05, 6 Cr 3.18
2 Cr 0.0000 0.0000 0.5000  6 Cr 2.42
3 Cr 0.6667 0.3333 0.3077  3 Cr 2.42
4 Cr 0.6667 0.3333 0.6923  3 Cr 2.42

Properties
Size of the total moment ... 2.32 Bohr magnetons per cell
Formation energy from the elements ... 742.0 meV per atom
Symmetry ... P-6m2

2.
CaPt2Se: relaxed, PBE.

abc: 4.0912 3.7576 5.4534
angles: 90.00 100.96 90.00
With the nearest neighbours (Å) after each atom.
Element x y z (fractional)
1 Ca 0.0000 0.0000 0.0000  4 Pt 2.91-3.18, 4 Se 3.01-3.05
2 Pt 0.0303 0.5000 0.5968  1 Se 2.50, 2 Pt 2.66
3 Pt 0.4687 0.0000 0.5365  2 Se 2.61, 2 Pt 2.66
4 Se 0.5636 0.5000 0.2266  3 Pt 2.50-2.61

Properties
Size of the total moment ... 0.00 Bohr magnetons per cell
Formation energy (no corrections) ... -586 meV/atom
Symmetry ... Pm

3.
Sm4CuRu3: relaxed, PBE.

abc: 4.9472 4.9472 13.8992
angles: 90.00 90.00 90.00
With the nearest neighbours (Å) after each atom.
Element x y z (fractional)
1 Sm 0.0000 0.5000 0.1270  6 Ru 3.01-3.04, 2 Cu 3.04
2 Sm 0.0000 0.5000 0.3730  6 Ru 3.01-3.04, 2 Cu 3.04
3 Sm 0.0000 0.5000 0.6270  6 Ru 3.01-3.04, 2 Cu 3.04
4 Sm 0.0000 0.5000 0.8730  6 Ru 3.01-3.04, 2 Cu 3.04
5 Sm 0.5000 0.0000 0.1270  6 Ru 3.01-3.04, 2 Cu 3.04
6 Sm 0.5000 0.0000 0.3730  6 Ru 3.01-3.04, 2 Cu 3.04
7 Sm 0.5000 0.0000 0.6270  6 Ru 3.01-3.04, 2 Cu 3.04
8 Sm 0.5000 0.0000 0.8730  6 Ru 3.01-3.04, 2 Cu 3.04
9 Cu 0.0000 0.0000 0.0000  8 Sm 3.04
10 Cu 0.5000 0.5000 0.5000  8 Sm 3.04
11 Ru 0.0000 0.0000 0.2502  8 Sm 3.01
12 Ru 0.0000 0.0000 0.5000  8 Sm 3.04
13 Ru 0.0000 0.0000 0.7498  8 Sm 3.01
14 Ru 0.5000 0.5000 0.0000  8 Sm 3.04
15 Ru 0.5000 0.5000 0.2498  8 Sm 3.01
16 Ru 0.5000 0.5000 0.7502  8 Sm 3.01

Properties
Size of the total moment ... 0.00 Bohr magnetons per cell
Formation energy from the elements ... -212.5 meV per atom
Symmetry ... I4/mmm

4.
Sm5Er3As8: relaxed, PBE.

abc: 8.3308 8.3308 8.3308
angles: 60.01 60.01 60.01
With the nearest neighbours (Å) after each atom.
Element x y z (fractional)
1 Sm 0.0000 0.0000 0.0000  6 As 2.95
2 Sm 0.0000 0.5000 0.5000  6 As 2.98
3 Sm 0.5000 0.0000 0.5000  6 As 2.98
4 Sm 0.5000 0.5000 0.0000  6 As 2.98
5 Sm 0.5000 0.5000 0.5000  6 As 2.95
6 Er 0.0000 0.0000 0.5000  6 As 2.91
7 Er 0.0000 0.5000 0.0000  6 As 2.91
8 Er 0.5000 0.0000 0.0000  6 As 2.91
9 As 0.2445 0.7500 0.7500  2 Er 2.91, 4 Sm 2.95-2.98
10 As 0.2473 0.2473 0.2473  3 Er 2.91, 3 Sm 2.98
11 As 0.2500 0.2500 0.7555  2 Er 2.91, 4 Sm 2.95-2.98
12 As 0.2500 0.7555 0.2500  2 Er 2.91, 4 Sm 2.95-2.98
13 As 0.7500 0.2445 0.7500  2 Er 2.91, 4 Sm 2.95-2.98
14 As 0.7500 0.7500 0.2445  2 Er 2.91, 4 Sm 2.95-2.98
15 As 0.7527 0.7527 0.7527  3 Er 2.91, 3 Sm 2.98
16 As 0.7555 0.2500 0.2500  2 Er 2.91, 4 Sm 2.95-2.98

Properties
Size of the total moment ... 0.00 Bohr magnetons per cell
Formation energy from the elements ... -1519.3 meV per atom
Symmetry ... R-3m

5.
Rb2MnCl7: relaxed, PBE.

abc: 7.4942 7.4942 7.4942
angles: 116.94 116.94 95.39
With the nearest neighbours (Å) after each atom.
Element x y z (fractional)
1 Rb 0.2500 0.7500 0.5000  12 Cl 3.78-3.93
2 Rb 0.7500 0.2500 0.5000  12 Cl 3.78-3.93
3 Mn 0.0000 0.0000 0.0000  4 Cl 2.26
4 Cl 0.2043 0.2043 0.4086  1 Mn 2.26
5 Cl 0.2043 0.7957 0.0000  1 Mn 2.26
6 Cl 0.2714 0.2714 0.0000  1 Cl 2.31
7 Cl 0.5000 0.5000 0.0000  2 Cl 2.31
8 Cl 0.7286 0.7286 0.0000  1 Cl 2.31
9 Cl 0.7957 0.2043 0.0000  1 Mn 2.26
10 Cl 0.7957 0.7957 0.5914  1 Mn 2.26

Properties
Size of the total moment ... 4.00 Bohr magnetons per cell
Formation energy (no corrections) ... -1178 meV/atom
Symmetry ... I4/mmm

6.
PaAlGaCu: relaxed, PBE.

abc: 6.6376 6.6376 6.6376
angles: 90.00 90.00 90.00
With the nearest neighbours (Å) after each atom.
Element x y z (fractional)
1 Pa 0.0000 0.0000 0.0000  4 Cu 2.87, 4 Ga 2.87
2 Pa 0.0000 0.5000 0.5000  4 Cu 2.87, 4 Ga 2.87
3 Pa 0.5000 0.0000 0.5000  4 Cu 2.87, 4 Ga 2.87
4 Pa 0.5000 0.5000 0.0000  4 Cu 2.87, 4 Ga 2.87
5 Al 0.0000 0.0000 0.5000  4 Cu 2.87, 4 Ga 2.87
6 Al 0.0000 0.5000 0.0000  4 Cu 2.87, 4 Ga 2.87
7 Al 0.5000 0.0000 0.0000  4 Cu 2.87, 4 Ga 2.87
8 Al 0.5000 0.5000 0.5000  4 Cu 2.87, 4 Ga 2.87
9 Ga 0.2500 0.2500 0.2500  4 Pa 2.87, 4 Al 2.87
10 Ga 0.2500 0.7500 0.7500  4 Pa 2.87, 4 Al 2.87
11 Ga 0.7500 0.2500 0.7500  4 Pa 2.87, 4 Al 2.87
12 Ga 0.7500 0.7500 0.2500  4 Pa 2.87, 4 Al 2.87
13 Cu 0.2500 0.2500 0.7500  4 Pa 2.87, 4 Al 2.87
14 Cu 0.2500 0.7500 0.2500  4 Pa 2.87, 4 Al 2.87
15 Cu 0.7500 0.2500 0.2500  4 Pa 2.87, 4 Al 2.87
16 Cu 0.7500 0.7500 0.7500  4 Pa 2.87, 4 Al 2.87

Properties
Size of the total moment ... 0.00 Bohr magnetons per cell
Formation energy from the elements ... -163.4 meV per atom
Symmetry ... F-43m